PBE LaSmGaCu, relaxed; SG = No. 216; ΔH_f (0 K) = -0.35 eV per atom; electronic total energy = -0.3336 Ry/atom
1.0
5.197 0.000 0.000
2.598 4.500 0.000
2.598 1.500 4.243
Cu Ga Sm La
1 1 1 1
direct
0.000 0.000 0.000
0.500 0.500 0.500
0.750 0.750 0.750
0.250 0.250 0.250

PBE RbAgO3, relaxed; SG = No. 221; electronic total energy = -0.1876 Ry/atom; formation energy (no corrections) = 1.19 eV/atom
1.0
4.376 0.000 0.000
0.000 4.376 0.000
0.000 0.000 4.376
O Rb Ag
3 1 1
direct
0.000 0.500 0.000
0.000 0.000 0.500
0.500 0.000 0.000
0.000 0.000 0.000
0.500 0.500 0.500

PBE Tl3CrBi2Se6, relaxed; SG = No. 12; electronic total energy = -0.3103 Ry/atom; formation energy (no corrections) = -0.44 eV/atom
1.0
-6.604 -1.949 1.998
5.581 -1.442 4.264
-0.592 7.838 1.430
Tl Cr Bi Se
3 1 2 6
direct
0.175 0.825 0.500
0.825 0.175 0.500
0.500 0.500 0.500
0.000 0.000 0.000
0.334 0.666 0.000
0.666 0.334 0.000
0.935 0.639 0.802
0.773 0.773 0.206
0.065 0.361 0.198
0.639 0.935 0.802
0.227 0.227 0.794
0.361 0.065 0.198

PBE Cu2TcSe, relaxed; SG = No. 47; electronic total energy = -0.3742 Ry/atom; formation energy (no corrections) = 0.42 eV/atom
1.0
-1.255 -1.487 -1.784
-2.007 -1.828 2.935
-4.000 3.811 -0.362
Cu Se Tc
2 1 1
direct
0.000 0.000 0.980
0.000 0.000 0.520
0.500 0.500 0.250
0.500 0.500 0.750

PBE Li2SmHo2Bi2, relaxed; SG = No. 166; ΔH_f (0 K) = -0.39 eV per atom; electronic total energy = -0.2958 Ry/atom
1.0
4.883 0.000 0.000
2.442 4.229 0.000
2.442 1.410 8.916
Li Sm Ho Bi
2 1 2 2
direct
0.586 0.586 0.241
0.414 0.414 0.759
0.000 0.000 0.000
0.132 0.132 0.604
0.868 0.868 0.396
0.736 0.736 0.791
0.264 0.264 0.209

PBE MgAgBr, relaxed; SG = No. 107; electronic total energy = -0.1775 Ry/atom; formation energy (no corrections) = -0.38 eV/atom
1.0
6.984 0.081 0.000
5.327 4.516 0.000
-6.155 -2.299 2.368
Ag Br Mg
1 1 1
direct
0.038 0.038 0.000
0.293 0.293 0.000
0.669 0.669 0.000

PBE Er7Co2Te2, relaxed; SG = No. 65; electronic total energy = -0.3812 Ry/atom; formation energy (no corrections) = -0.42 eV/atom
1.0
6.985 0.375 0.542
-0.490 6.376 1.885
-0.490 -0.474 6.632
Er Co Te
7 2 2
direct
0.235 0.000 0.500
0.765 0.500 0.000
0.765 0.000 0.500
0.235 0.500 0.000
0.000 0.000 0.000
0.777 0.500 0.500
0.223 0.500 0.500
0.000 0.280 0.280
0.000 0.720 0.720
0.500 0.211 0.789
0.500 0.789 0.211

PBE Pm6GeTe3Rh2, relaxed; SG = No. 12; electronic total energy = -0.4281 Ry/atom; formation energy (no corrections) = -1.05 eV/atom
1.0
7.371 -0.005 -0.007
-3.688 6.382 -0.007
-1.235 -2.139 7.416
Pm Ge Te Rh
6 1 3 2
direct
0.929 0.587 0.784
0.730 0.730 0.214
0.071 0.413 0.216
0.587 0.929 0.784
0.270 0.270 0.786
0.413 0.071 0.216
0.000 0.000 0.000
0.164 0.836 0.500
0.836 0.164 0.500
0.500 0.500 0.500
0.333 0.667 0.000
0.667 0.333 0.000

PBE SmIrPt, relaxed; SG = No. 74; ΔH_f (0 K) = -0.89 eV per atom; electronic total energy = -0.5458 Ry/atom
1.0
5.449 -0.043 0.077
-2.696 4.736 -0.077
2.698 1.571 4.467
Sm Ir Pt
2 2 2
direct
0.750 0.876 0.374
0.250 0.124 0.626
0.500 0.000 0.000
0.000 0.500 0.000
0.000 0.500 0.500
0.500 0.500 0.000

PBE Hf2Zr4Al, relaxed; SG = No. 139; ΔH_f (0 K) = 0.79 eV per atom; electronic total energy = -0.5493 Ry/atom
1.0
-0.211 4.846 -1.505
-3.409 -1.251 -3.551
-6.950 2.977 1.992
Hf Al Zr
2 1 4
direct
0.609 0.609 0.782
0.391 0.391 0.218
0.000 0.000 0.000
0.811 0.811 0.379
0.189 0.189 0.621
0.000 0.500 0.000
0.500 0.000 0.000

PBE Y5Fe2Se2, relaxed; SG = No. 64; electronic total energy = -0.5136 Ry/atom; formation energy (no corrections) = -0.74 eV/atom
1.0
-3.306 5.133 4.318
-4.679 -5.164 2.555
3.199 0.955 7.789
Y Fe Se
10 4 4
direct
0.000 0.000 0.000
0.500 0.500 0.000
0.457 0.168 0.742
0.800 0.832 0.742
0.300 0.668 0.742
0.957 0.332 0.742
0.543 0.832 0.258
0.200 0.168 0.258
0.700 0.332 0.258
0.043 0.668 0.258
0.108 0.396 0.000
0.892 0.604 0.000
0.392 0.896 0.000
0.608 0.104 0.000
0.207 0.000 0.586
0.707 0.500 0.586
0.793 0.000 0.414
0.293 0.500 0.414

PBE CaFePt2, relaxed; SG = No. 47; ΔH_f (0 K) = -0.42 eV per atom; electronic total energy = -0.4454 Ry/atom
1.0
-0.809 -2.775 1.544
1.934 0.646 2.174
-3.219 4.126 5.728
Ca Fe Pt
1 1 2
direct
0.500 0.250 0.250
0.500 0.750 0.750
0.000 0.046 0.953
0.000 0.454 0.547

PBE Sc3TaI, relaxed; SG = No. 221; electronic total energy = -0.4108 Ry/atom; formation energy (no corrections) = 0.89 eV/atom
1.0
5.153 0.000 0.000
0.000 5.153 0.000
0.000 0.000 5.153
I Sc Ta
1 3 1
direct
0.000 0.000 0.000
0.000 0.500 0.000
0.000 0.000 0.500
0.500 0.000 0.000
0.500 0.500 0.500

PBE Pr6Ga2C, relaxed; SG = No. 14; ΔH_f (0 K) = -0.26 eV per atom; electronic total energy = -0.3779 Ry/atom
1.0
-6.006 -2.045 1.712
2.919 -2.213 7.599
-2.743 8.459 3.517
Pr Ga C
12 4 2
direct
0.113 0.039 0.242
0.129 0.285 0.557
0.170 0.353 0.947
0.330 0.853 0.553
0.371 0.785 0.943
0.387 0.539 0.258
0.887 0.961 0.758
0.871 0.715 0.443
0.830 0.647 0.053
0.670 0.147 0.447
0.629 0.215 0.057
0.613 0.461 0.742
0.068 0.613 0.735
0.432 0.113 0.765
0.568 0.887 0.235
0.932 0.387 0.265
0.500 0.500 0.000
0.000 0.000 0.500

PBE SrCd2Os, relaxed; SG = No. 123; ΔH_f (0 K) = 0.56 eV per atom; electronic total energy = -0.2300 Ry/atom
1.0
-4.278 -1.097 -0.555
0.098 -2.310 3.803
-1.242 3.693 2.275
Cd Os Sr
2 1 1
direct
0.000 0.000 0.000
0.500 0.500 0.000
0.500 0.000 0.500
0.000 0.500 0.500

PBE KCuAg2, relaxed; SG = No. 141; ΔH_f (0 K) = 0.25 eV per atom; electronic total energy = -0.1818 Ry/atom
1.0
5.370 0.000 0.000
0.000 5.370 0.000
2.685 2.685 8.779
K Cu Ag
2 2 4
direct
0.500 0.500 0.000
0.250 0.750 0.500
0.000 0.000 0.000
0.750 0.250 0.500
0.875 0.125 0.250
0.875 0.625 0.250
0.375 0.125 0.750
0.875 0.125 0.750

PBE Sn5IrRh, relaxed; SG = No. 15; ΔH_f (0 K) = -0.06 eV per atom; electronic total energy = -0.3848 Ry/atom
1.0
6.724 0.481 0.165
2.589 6.224 0.165
3.550 2.556 9.056
Sn Ir Rh
10 2 2
direct
0.836 0.668 0.172
0.243 0.554 0.498
0.668 0.836 0.672
0.926 0.074 0.250
0.446 0.757 0.002
0.554 0.243 0.998
0.074 0.926 0.750
0.332 0.164 0.328
0.757 0.446 0.502
0.164 0.332 0.828
0.000 0.000 0.000
0.000 0.000 0.500
0.556 0.444 0.250
0.444 0.556 0.750

PBE EuDy2Al, relaxed; SG = No. 225; ΔH_f (0 K) = -0.03 eV per atom; electronic total energy = -0.4287 Ry/atom
1.0
-1.991 4.352 -2.499
-5.319 0.452 -0.807
-2.853 3.642 2.784
Eu Al Dy
1 1 2
direct
0.000 0.000 0.000
0.500 0.500 0.500
0.250 0.250 0.250
0.750 0.750 0.750

PBE YSb2TeAu, relaxed; SG = No. 123; electronic total energy = -0.2760 Ry/atom; formation energy (no corrections) = 0.47 eV/atom
1.0
-0.196 -5.792 -0.276
-0.025 -0.276 5.796
-5.680 0.193 -0.015
Y Sb Te Au
1 2 1 1
direct
0.000 0.000 0.000
0.000 0.500 0.000
0.500 0.000 0.000
0.000 0.000 0.500
0.500 0.500 0.500

PBE NiAg2Pt, relaxed; SG = No. 216; ΔH_f (0 K) = 0.19 eV per atom; electronic total energy = -0.3079 Ry/atom
1.0
4.463 0.000 0.000
2.232 3.865 0.000
2.232 1.288 3.644
Ag Ni Pt
2 1 1
direct
0.000 0.000 0.000
0.250 0.250 0.250
0.500 0.500 0.500
0.750 0.750 0.750